{"formula": "Sc2V3O8", "functional": "PBE+U", "state": "optimized geometry", "lattice_angstrom": [[4.916, -0.112, -1.207], [-0.469, 5.280, -2.401], [-0.472, -0.493, 6.059]], "species": ["Sc", "O", "V", "O", "O", "Sc", "O", "O", "V", "O", "O", "V", "O"], "frac_coords": [[0.665, 0.730, 0.461], [0.088, 0.388, 0.777], [0.000, 0.730, 0.000], [0.594, 0.645, 0.759], [0.072, 0.894, 0.787], [0.335, 0.270, 0.539], [0.912, 0.612, 0.223], [0.406, 0.355, 0.241], [0.000, 0.270, 0.000], [0.406, 0.886, 0.241], [0.594, 0.114, 0.759], [0.500, 0.000, 0.000], [0.928, 0.106, 0.213]], "crystal_system": "monoclinic"}

***

{"formula": "Sc2VO", "functional": "PBE+U", "state": "optimized geometry", "lattice_angstrom": [[-4.692, -6.272, 3.277], [-3.488, -7.728, 0.451], [-1.593, -7.671, 3.273]], "species": ["Sc", "O", "Sc", "V"], "frac_coords": [[0.924, 0.924, 0.924], [0.000, 0.000, 0.000], [0.076, 0.076, 0.076], [0.500, 0.500, 0.500]], "crystal_system": "trigonal"}

***

Number 1: E_tot -8.358 eV/atom. Number 2: E_tot -6.912 eV/atom.